1.
Density functional theory data (PBE) for NaCaCl3 after structural relaxation. Values from VASP.

- VASP energy: -3.912 eV/atom
- Uncorrected formation energy: -2.14 eV/atom

Cell and atoms, written as Quantum ESPRESSO input:
```
&SYSTEM
  ibrav = 0, nat = 10, ntyp = 3
/
ATOMIC_SPECIES
Na 22.99 Na.upf
Ca 40.08 Ca.upf
Cl 35.45 Cl.upf
CELL_PARAMETERS angstrom
7.0711 0.0000 0.0000
0.0000 4.1215 0.0000
-1.6637 0.0000 9.7293
ATOMIC_POSITIONS crystal
Na 0.2131 0.2500 0.4463
Na 0.7869 0.7500 0.5537
Ca 0.3506 0.2500 0.8331
Ca 0.6494 0.7500 0.1669
Cl 0.0055 0.2500 0.6692
Cl 0.2866 0.7500 0.0045
Cl 0.4451 0.7500 0.6607
Cl 0.5549 0.2500 0.3393
Cl 0.7134 0.2500 0.9955
Cl 0.9945 0.7500 0.3308
```

2.
Density functional theory data (PBE) for Na3CaCl4 after structural relaxation. Values from VASP.

- VASP energy: -3.336 eV/atom
- Uncorrected formation energy: -1.67 eV/atom

Cell and atoms, written as Quantum ESPRESSO input:
```
&SYSTEM
  ibrav = 0, nat = 8, ntyp = 3
/
ATOMIC_SPECIES
Na 22.99 Na.upf
Ca 40.08 Ca.upf
Cl 35.45 Cl.upf
CELL_PARAMETERS angstrom
-2.9245 2.9245 6.2197
2.9245 -2.9245 6.2197
2.9245 2.9245 -6.2197
ATOMIC_POSITIONS crystal
Na 0.0000 0.0000 0.0000
Na 0.2500 0.7500 0.5000
Na 0.7500 0.2500 0.5000
Ca 0.5000 0.5000 0.0000
Cl 0.0000 0.5000 0.5000
Cl 0.2795 0.2795 0.0000
Cl 0.5000 0.0000 0.5000
Cl 0.7205 0.7205 0.0000
```

3.
Density functional theory data (PBE) for Na5Ca3Cl12 after structural relaxation. Values from VASP.

- VASP energy: -3.569 eV/atom
- Uncorrected formation energy: -1.83 eV/atom

Cell and atoms, written as Quantum ESPRESSO input:
```
&SYSTEM
  ibrav = 0, nat = 80, ntyp = 3
/
ATOMIC_SPECIES
Na 22.99 Na.upf
Ca 40.08 Ca.upf
Cl 35.45 Cl.upf
CELL_PARAMETERS angstrom
-8.1429 8.1429 8.1429
8.1429 -8.1429 8.1429
8.1429 8.1429 -8.1429
ATOMIC_POSITIONS crystal
Na 0.0000 0.0000 0.0000
Na 0.0000 0.0000 0.5000
Na 0.0000 0.5000 0.0000
Na 0.0000 0.5000 0.5000
Na 0.1250 0.7500 0.8750
Na 0.1250 0.8750 0.2500
Na 0.2500 0.1250 0.8750
Na 0.2500 0.6250 0.3750
Na 0.3750 0.2500 0.6250
Na 0.3750 0.6250 0.7500
Na 0.5000 0.0000 0.0000
Na 0.5000 0.0000 0.5000
Na 0.5000 0.5000 0.0000
Na 0.5000 0.5000 0.5000
Na 0.6250 0.3750 0.2500
Na 0.6250 0.7500 0.3750
Na 0.7500 0.3750 0.6250
Na 0.7500 0.8750 0.1250
Na 0.8750 0.1250 0.7500
Na 0.8750 0.2500 0.1250
Ca 0.1250 0.2500 0.3750
Ca 0.1250 0.3750 0.7500
Ca 0.2500 0.3750 0.1250
Ca 0.2500 0.8750 0.6250
Ca 0.3750 0.1250 0.2500
Ca 0.3750 0.7500 0.1250
Ca 0.6250 0.2500 0.8750
Ca 0.6250 0.8750 0.7500
Ca 0.7500 0.1250 0.3750
Ca 0.7500 0.6250 0.8750
Ca 0.8750 0.6250 0.2500
Ca 0.8750 0.7500 0.6250
Cl 0.0528 0.2283 0.1333
Cl 0.0528 0.3246 0.9195
Cl 0.0805 0.6333 0.4050
Cl 0.0805 0.9472 0.6754
Cl 0.0950 0.7283 0.6754
Cl 0.0950 0.8667 0.4195
Cl 0.1333 0.0528 0.2283
Cl 0.1333 0.5805 0.9050
Cl 0.1754 0.2283 0.5950
Cl 0.1754 0.4472 0.5805
Cl 0.2283 0.1333 0.0528
Cl 0.2283 0.5950 0.1754
Cl 0.2717 0.3246 0.9050
Cl 0.2717 0.4472 0.3667
Cl 0.3246 0.9050 0.2717
Cl 0.3246 0.9195 0.0528
Cl 0.3667 0.2717 0.4472
Cl 0.3667 0.5950 0.9195
Cl 0.4050 0.0805 0.6333
Cl 0.4050 0.8246 0.7717
Cl 0.4195 0.0950 0.8667
Cl 0.4195 0.8246 0.5528
Cl 0.4472 0.3667 0.2717
Cl 0.4472 0.5805 0.1754
Cl 0.5528 0.4195 0.8246
Cl 0.5528 0.6333 0.7283
Cl 0.5805 0.1754 0.4472
Cl 0.5805 0.9050 0.1333
Cl 0.5950 0.1754 0.2283
Cl 0.5950 0.9195 0.3667
Cl 0.6333 0.4050 0.0805
Cl 0.6333 0.7283 0.5528
Cl 0.6754 0.0805 0.9472
Cl 0.6754 0.0950 0.7283
Cl 0.7283 0.5528 0.6333
Cl 0.7283 0.6754 0.0950
Cl 0.7717 0.4050 0.8246
Cl 0.7717 0.8667 0.9472
Cl 0.8246 0.5528 0.4195
Cl 0.8246 0.7717 0.4050
Cl 0.8667 0.4195 0.0950
Cl 0.8667 0.9472 0.7717
Cl 0.9050 0.1333 0.5805
Cl 0.9050 0.2717 0.3246
Cl 0.9195 0.0528 0.3246
Cl 0.9195 0.3667 0.5950
Cl 0.9472 0.6754 0.0805
Cl 0.9472 0.7717 0.8667
```

4.
Density functional theory data (PBE) for Na2Ca5Cl12 after structural relaxation. Values from VASP.

- VASP energy: -4.042 eV/atom
- Uncorrected formation energy: -2.21 eV/atom

Cell and atoms, written as Quantum ESPRESSO input:
```
&SYSTEM
  ibrav = 0, nat = 19, ntyp = 3
/
ATOMIC_SPECIES
Na 22.99 Na.upf
Ca 40.08 Ca.upf
Cl 35.45 Cl.upf
CELL_PARAMETERS angstrom
7.2998 -3.9218 0.0000
7.2998 3.9218 0.0000
-3.5750 0.0000 9.1288
ATOMIC_POSITIONS crystal
Na 0.2359 0.7641 0.0000
Na 0.7641 0.2359 0.0000
Ca 0.0000 0.0000 0.5000
Ca 0.2741 0.2741 0.0438
Ca 0.3060 0.3060 0.6227
Ca 0.6940 0.6940 0.3773
Ca 0.7259 0.7259 0.9562
Cl 0.0714 0.5333 0.8520
Cl 0.0736 0.0736 0.8333
Cl 0.0889 0.6363 0.4988
Cl 0.3637 0.9111 0.5012
Cl 0.4667 0.9286 0.1480
Cl 0.4772 0.4772 0.1842
Cl 0.5228 0.5228 0.8158
Cl 0.5333 0.0714 0.8520
Cl 0.6363 0.0889 0.4988
Cl 0.9111 0.3637 0.5012
Cl 0.9264 0.9264 0.1667
Cl 0.9286 0.4667 0.1480
```

5.
Density functional theory data (PBE) for Na3Ca5Cl12 after structural relaxation. Values from VASP.

- VASP energy: -3.834 eV/atom
- Uncorrected formation energy: -2.03 eV/atom

Cell and atoms, written as Quantum ESPRESSO input:
```
&SYSTEM
  ibrav = 0, nat = 80, ntyp = 3
/
ATOMIC_SPECIES
Na 22.99 Na.upf
Ca 40.08 Ca.upf
Cl 35.45 Cl.upf
CELL_PARAMETERS angstrom
-8.5794 8.5794 8.5794
8.5794 -8.5794 8.5794
8.5794 8.5794 -8.5794
ATOMIC_POSITIONS crystal
Na 0.1250 0.2500 0.3750
Na 0.1250 0.3750 0.7500
Na 0.2500 0.3750 0.1250
Na 0.2500 0.8750 0.6250
Na 0.3750 0.1250 0.2500
Na 0.3750 0.7500 0.1250
Na 0.6250 0.2500 0.8750
Na 0.6250 0.8750 0.7500
Na 0.7500 0.1250 0.3750
Na 0.7500 0.6250 0.8750
Na 0.8750 0.6250 0.2500
Na 0.8750 0.7500 0.6250
Ca 0.0000 0.0000 0.0000
Ca 0.0000 0.0000 0.5000
Ca 0.0000 0.5000 0.0000
Ca 0.0000 0.5000 0.5000
Ca 0.1250 0.7500 0.8750
Ca 0.1250 0.8750 0.2500
Ca 0.2500 0.1250 0.8750
Ca 0.2500 0.6250 0.3750
Ca 0.3750 0.2500 0.6250
Ca 0.3750 0.6250 0.7500
Ca 0.5000 0.0000 0.0000
Ca 0.5000 0.0000 0.5000
Ca 0.5000 0.5000 0.0000
Ca 0.5000 0.5000 0.5000
Ca 0.6250 0.3750 0.2500
Ca 0.6250 0.7500 0.3750
Ca 0.7500 0.3750 0.6250
Ca 0.7500 0.8750 0.1250
Ca 0.8750 0.1250 0.7500
Ca 0.8750 0.2500 0.1250
Cl 0.0325 0.2045 0.1308
Cl 0.0325 0.3280 0.9017
Cl 0.0737 0.7045 0.6720
Cl 0.0737 0.8692 0.4017
Cl 0.0983 0.6308 0.4263
Cl 0.0983 0.9675 0.6720
Cl 0.1308 0.0325 0.2045
Cl 0.1308 0.5983 0.9263
Cl 0.1720 0.2045 0.5737
Cl 0.1720 0.4675 0.5983
Cl 0.2045 0.1308 0.0325
Cl 0.2045 0.5737 0.1720
Cl 0.2955 0.3280 0.9263
Cl 0.2955 0.4675 0.3692
Cl 0.3280 0.9017 0.0325
Cl 0.3280 0.9263 0.2955
Cl 0.3692 0.2955 0.4675
Cl 0.3692 0.5737 0.9017
Cl 0.4017 0.0737 0.8692
Cl 0.4017 0.8280 0.5325
Cl 0.4263 0.0983 0.6308
Cl 0.4263 0.8280 0.7955
Cl 0.4675 0.3692 0.2955
Cl 0.4675 0.5983 0.1720
Cl 0.5325 0.4017 0.8280
Cl 0.5325 0.6308 0.7045
Cl 0.5737 0.1720 0.2045
Cl 0.5737 0.9017 0.3692
Cl 0.5983 0.1720 0.4675
Cl 0.5983 0.9263 0.1308
Cl 0.6308 0.4263 0.0983
Cl 0.6308 0.7045 0.5325
Cl 0.6720 0.0737 0.7045
Cl 0.6720 0.0983 0.9675
Cl 0.7045 0.5325 0.6308
Cl 0.7045 0.6720 0.0737
Cl 0.7955 0.4263 0.8280
Cl 0.7955 0.8692 0.9675
Cl 0.8280 0.5325 0.4017
Cl 0.8280 0.7955 0.4263
Cl 0.8692 0.4017 0.0737
Cl 0.8692 0.9675 0.7955
Cl 0.9017 0.0325 0.3280
Cl 0.9017 0.3692 0.5737
Cl 0.9263 0.1308 0.5983
Cl 0.9263 0.2955 0.3280
Cl 0.9675 0.6720 0.0983
Cl 0.9675 0.7955 0.8692
```

6.
Density functional theory data (PBE) for Na2Ca2Cl after structural relaxation. Values from VASP.

- VASP energy: -2.209 eV/atom
- Uncorrected formation energy: -0.51 eV/atom

Cell and atoms, written as Quantum ESPRESSO input:
```
&SYSTEM
  ibrav = 0, nat = 10, ntyp = 3
/
ATOMIC_SPECIES
Na 22.99 Na.upf
Ca 40.08 Ca.upf
Cl 35.45 Cl.upf
CELL_PARAMETERS angstrom
7.6649 0.0000 0.0000
0.0000 7.6649 0.0000
0.0000 0.0000 6.4741
ATOMIC_POSITIONS crystal
Na 0.1497 0.3503 0.0000
Na 0.3503 0.8503 0.0000
Na 0.6497 0.1497 0.0000
Na 0.8503 0.6497 0.0000
Ca 0.1726 0.6726 0.5000
Ca 0.3274 0.1726 0.5000
Ca 0.6726 0.8274 0.5000
Ca 0.8274 0.3274 0.5000
Cl 0.0000 0.0000 0.5000
Cl 0.5000 0.5000 0.5000
```

7.
Density functional theory data (PBE) for Na5CaCl7 after structural relaxation. Values from VASP.

- VASP energy: -3.579 eV/atom
- Uncorrected formation energy: -1.92 eV/atom

Cell and atoms, written as Quantum ESPRESSO input:
```
&SYSTEM
  ibrav = 0, nat = 26, ntyp = 3
/
ATOMIC_SPECIES
Na 22.99 Na.upf
Ca 40.08 Ca.upf
Cl 35.45 Cl.upf
CELL_PARAMETERS angstrom
6.6663 -1.9535 0.0000
6.6663 1.9535 0.0000
-0.0141 0.0000 23.8044
ATOMIC_POSITIONS crystal
Na 0.0000 0.0000 0.0000
Na 0.0002 0.0002 0.2099
Na 0.0790 0.0790 0.7100
Na 0.0798 0.0798 0.5002
Na 0.2633 0.2633 0.2837
Na 0.2628 0.2628 0.9263
Na 0.5393 0.5393 0.8550
Na 0.5400 0.5400 0.3550
Na 0.8159 0.8159 0.7838
Na 0.8167 0.8167 0.4264
Ca 0.3272 0.3272 0.6053
Ca 0.7523 0.7523 0.1050
Cl 0.1058 0.1058 0.1050
Cl 0.1757 0.1757 0.8173
Cl 0.1765 0.1765 0.3927
Cl 0.3489 0.3489 0.0347
Cl 0.3491 0.3491 0.1752
Cl 0.4488 0.4488 0.7460
Cl 0.4498 0.4498 0.4638
Cl 0.6302 0.6302 0.2461
Cl 0.6299 0.6299 0.9638
Cl 0.7301 0.7301 0.6754
Cl 0.7307 0.7307 0.5349
Cl 0.9030 0.9030 0.8926
Cl 0.9035 0.9035 0.3173
Cl 0.9737 0.9737 0.6051
```

8.
Density functional theory data (PBE) for NaCa4Cl8 after structural relaxation. Values from VASP.

- VASP energy: -3.988 eV/atom
- Uncorrected formation energy: -2.13 eV/atom

Cell and atoms, written as Quantum ESPRESSO input:
```
&SYSTEM
  ibrav = 0, nat = 13, ntyp = 3
/
ATOMIC_SPECIES
Na 22.99 Na.upf
Ca 40.08 Ca.upf
Cl 35.45 Cl.upf
CELL_PARAMETERS angstrom
0.0000 5.8703 5.8703
5.8703 0.0000 5.8703
5.8703 5.8703 0.0000
ATOMIC_POSITIONS crystal
Na 0.0000 0.0000 0.0000
Ca 0.1339 0.6220 0.6220
Ca 0.6220 0.1339 0.6220
Ca 0.6220 0.6220 0.1339
Ca 0.6220 0.6220 0.6220
Cl 0.3872 0.3872 0.3872
Cl 0.3872 0.3872 0.8383
Cl 0.3872 0.8383 0.3872
Cl 0.4123 0.8626 0.8626
Cl 0.8383 0.3872 0.3872
Cl 0.8626 0.4123 0.8626
Cl 0.8626 0.8626 0.4123
Cl 0.8626 0.8626 0.8626
```